No. 1
## PPtAu (SCAN)

Data for PPtAu at its PBEsol-relaxed geometry.

Unit cell a=3.277 b=3.277 c=8.909 alpha=90.00 beta=90.00 gamma=90.00
Space group I4mm (No. 107)
Inequivalent atoms, fractional coordinates:
P  0.000  0.000  0.000 [2 per cell]
Pt  0.000  0.000  0.408 [2 per cell]
Au  0.000  0.000  0.715 [2 per cell]

Summary:
- electronic total energy (eV for the cell shown) = -299.54
- E above lowest polymorph (meV per atom) = 0
- ΔE_f (eV per atom) = -0.01

=====

No. 2
## TaCdAu (SCAN)

Data for TaCdAu at its PBEsol-relaxed geometry.

Unit cell a=6.228 b=6.228 c=6.228 alpha=90.00 beta=90.00 gamma=90.00
Space group F-43m (No. 216)
Inequivalent atoms, fractional coordinates:
Ta  0.000  0.000  0.000 [4 per cell]
Cd  0.250  0.250  0.250 [4 per cell]
Au  0.000  0.000  0.500 [4 per cell]

Summary:
- electronic total energy (eV for the cell shown) = -655.35
- ΔE_f (eV per atom) = 0.77

=====

Respective D(E_F) values: 1.34 1.91 states/eV per cell.